Below is crystalline BaPt13 at its relaxed geometry, with properties calculated at the PBEsol level.

For the density of states at the Fermi level, the calculation gives 1.702 states/eV per atom. The total energy is -0.2468 Ha/atom.

a b c (Å): 8.839 8.839 8.839
angles (deg): 60.00 60.00 60.00
Positions (direct):
Ba 0.250 0.250 0.250
Ba 0.750 0.750 0.750
Pt 0.000 0.000 0.000
Pt 0.065 0.300 0.700
Pt 0.065 0.700 0.935
Pt 0.065 0.935 0.300
Pt 0.200 0.435 0.800
Pt 0.200 0.565 0.435
Pt 0.200 0.800 0.565
Pt 0.300 0.065 0.935
Pt 0.300 0.700 0.065
Pt 0.300 0.935 0.700
Pt 0.435 0.200 0.565
Pt 0.435 0.565 0.800
Pt 0.435 0.800 0.200
Pt 0.500 0.500 0.500
Pt 0.565 0.200 0.800
Pt 0.565 0.435 0.200
Pt 0.565 0.800 0.435
Pt 0.700 0.065 0.300
Pt 0.700 0.300 0.935
Pt 0.700 0.935 0.065
Pt 0.800 0.200 0.435
Pt 0.800 0.435 0.565
Pt 0.800 0.565 0.200
Pt 0.935 0.065 0.700
Pt 0.935 0.300 0.065
Pt 0.935 0.700 0.300